Entry 1:
# Ca2Ga3Pt5

An optimized crystal structure of Ca2Ga3Pt5 (PBE-GGA, Alexandria).

Values from the calculation:
Total DFT energy (no corrections) = -0.380 Ry per atom
Energy of formation = -0.842 eV per atom
Space-group type = No. 72

Unit cell a=5.723 b=8.936 c=8.936 alpha=65.60 beta=71.32 gamma=71.32
Fractional coordinates of all 20 atoms:
Ca  0.154  0.617  0.075
Ca  0.346  0.925  0.383
Ca  0.654  0.075  0.617
Ca  0.846  0.383  0.925
Ga  0.250  0.000  0.000
Ga  0.750  0.000  0.000
Ga  0.401  0.439  0.759
Ga  0.099  0.241  0.561
Ga  0.901  0.759  0.439
Ga  0.599  0.561  0.241
Pt  0.456  0.294  0.294
Pt  0.364  0.229  0.044
Pt  0.636  0.771  0.956
Pt  0.956  0.294  0.294
Pt  0.044  0.706  0.706
Pt  0.544  0.706  0.706
Pt  0.750  0.500  0.500
Pt  0.250  0.500  0.500
Pt  0.136  0.956  0.771
Pt  0.864  0.044  0.229

***

Entry 2:
# RbNaRu3

An optimized crystal structure of RbNaRu3 (PBE-GGA, Alexandria).

Values from the calculation:
Total DFT energy (no corrections) = -0.267 Ry per atom
Energy of formation = 2.386 eV per atom
Space-group type = No. 221

Unit cell a=4.973 b=4.973 c=4.973 alpha=90.00 beta=90.00 gamma=90.00
Fractional coordinates of all 5 atoms:
Ru  0.000  0.000  0.500
Ru  0.500  0.000  0.000
Ru  0.000  0.500  0.000
Rb  0.500  0.500  0.500
Na  0.000  0.000  0.000